PBE RbPHO, relaxed; relative energy among the computed polymorphs = 88 kJ/mol of formula units; SG = Pm
1.0
-0.4333 0.1745 3.9570
0.1044 -3.4591 0.1640
5.4408 0.1305 -0.7109
P H O Rb
1 1 1 1
direct
0.3427 0.5000 0.6362
0.8740 0.5000 0.8032
0.1426 0.5000 0.8778
0.6764 0.0000 0.1936